[1]
A relaxed Nd3DyPb2 crystal. Source: Alexandria via LeMat-Bulk, functional PBE.

Calculated values
V ... 193 Å³ per cell
DFT formation energy ... -2.6 eV/f.u.
Symmetry ... No. 115
Energy above the lowest structure with this stoichiometry ... 0 meV/atom
Calculated total energy ... -4.826 eV per atom

Unit cell a=4.670 b=4.670 c=8.867 alpha=90.00 beta=90.00 gamma=90.00
Element x y z (fractional)
1 Pb 0.000 0.500 0.281
2 Pb 0.500 0.000 0.719
3 Nd 0.000 0.500 0.654
4 Nd 0.500 0.000 0.346
5 Nd 0.000 0.000 0.000
6 Dy 0.500 0.500 0.000

---

[2]
A relaxed Nd2DyPb3 crystal. Source: Alexandria via LeMat-Bulk, functional PBE.

Calculated values
V ... 354 Å³ per cell
DFT formation energy ... -2.9 eV/f.u.
Symmetry ... No. 65
Energy above the lowest structure with this stoichiometry ... 0 meV/atom
Calculated total energy ... -4.701 eV per atom

Unit cell a=5.029 b=8.079 c=9.156 alpha=90.00 beta=89.99 gamma=71.87
Element x y z (fractional)
1 Pb 0.832 0.336 0.245
2 Pb 0.168 0.664 0.245
3 Pb 0.500 0.000 0.754
4 Pb 0.168 0.664 0.755
5 Pb 0.832 0.336 0.755
6 Pb 0.500 0.000 0.246
7 Nd 0.667 0.666 0.500
8 Nd 0.000 0.000 0.000
9 Nd 0.000 0.000 0.500
10 Nd 0.333 0.334 0.500
11 Dy 0.332 0.336 0.000
12 Dy 0.668 0.664 0.000

---

[3]
A relaxed NdDy2Pb2 crystal. Source: Alexandria via LeMat-Bulk, functional PBE.

Calculated values
V ... 156 Å³ per cell
DFT formation energy ... -1.5 eV/f.u.
Symmetry ... No. 12
Calculated total energy ... -4.576 eV per atom

Unit cell a=4.647 b=4.647 c=7.915 alpha=106.81 beta=106.81 gamma=90.08
Element x y z (fractional)
1 Nd 0.000 0.000 0.000
2 Pb 0.396 0.396 0.797
3 Pb 0.604 0.604 0.203
4 Dy 0.750 0.250 0.500
5 Dy 0.250 0.750 0.500

---

[4]
A relaxed Nd2Dy3Pb4 crystal. Source: Alexandria via LeMat-Bulk, functional PBE.

Calculated values
V ... 563 Å³ per cell
DFT formation energy ... -4.0 eV/f.u.
Symmetry ... No. 64
Energy above the lowest structure with this stoichiometry ... 142 meV/atom
Calculated total energy ... -4.689 eV per atom

Unit cell a=7.161 b=9.058 c=9.392 alpha=90.00 beta=112.41 gamma=90.00
Element x y z (fractional)
1 Dy 0.000 0.000 0.000
2 Dy 0.044 0.750 0.587
3 Dy 0.544 0.750 0.587
4 Dy 0.500 0.500 0.000
5 Dy 0.456 0.250 0.413
6 Dy 0.956 0.250 0.413
7 Nd 0.611 0.911 0.223
8 Nd 0.111 0.589 0.223
9 Nd 0.889 0.411 0.777
10 Nd 0.389 0.089 0.777
11 Pb 0.281 0.250 0.061
12 Pb 0.686 0.555 0.372
13 Pb 0.186 0.945 0.372
14 Pb 0.219 0.750 0.939
15 Pb 0.814 0.055 0.628
16 Pb 0.314 0.445 0.628
17 Pb 0.781 0.250 0.061
18 Pb 0.719 0.750 0.939